Entry 1:
# LaCoSi3

LaCoSi3 after structural relaxation (PBE, Alexandria).

Summary:
Space group: I4mm (107)
ρ, g/cm3: 5.6
ΔE_f (raw), eV/f.u.: -3.440

a = 4.1768 Å, b = 4.1768 Å, c = 5.6640 Å
α = 111.62°, β = 111.62°, γ = 90.00°
Atoms (fractional coordinates):
Si: 0.4203 0.4203 0.8403
La: 0.0004 0.0004 0.0006
Co: 0.6565 0.6565 0.3133
Si: 0.2559 0.7564 0.5124
Si: 0.7564 0.2559 0.5124

---

Entry 2:
# ScAgTe2

ScAgTe2 after structural relaxation (PBE, Alexandria).

Summary:
Space group: R-3m (166)
ρ, g/cm3: 5.5
ΔE_f (raw), eV/f.u.: 0.220

a = 9.2655 Å, b = 9.2655 Å, c = 9.2655 Å
α = 24.90°, β = 24.90°, γ = 24.90°
Atoms (fractional coordinates):
Sc: 0.0000 0.0000 0.0000
Te: 0.8980 0.8980 0.8980
Ag: 0.5000 0.5000 0.5000
Te: 0.1020 0.1020 0.1020